Here is a relaxed structure of Sr3Cu2NiO6 from Alexandria. Energies are from PBE with a Hubbard U.

abc: 5.762 5.762 6.318
angles: 90.00 90.00 120.00
Each line ends with the local moment (μB).
Fractional positions:
O1 0.163 0.326 0.304  -0.14
O2 0.163 0.837 0.304  -0.14
O3 0.837 0.674 0.696  -0.14
Cu1 0.667 0.333 0.819  -0.38
O4 0.837 0.163 0.696  -0.14
O5 0.326 0.163 0.696  -0.14
Sr1 0.333 0.667 0.634  0.01
Cu2 0.333 0.667 0.181  -0.38
Ni1 0.000 0.000 0.500  1.61
Sr2 0.000 0.000 0.000  0.01
Sr3 0.667 0.333 0.366  0.01
O6 0.674 0.837 0.304  -0.14

Properties
The calculation puts the magnetization at 0.002 μB per atom. As for the total energy: -5.3146 eV per atom.